# 1
# LiMg6Ga

A relaxed LiMg6Ga crystal (PBEsol, the Alexandria database).

## Properties
E_form, meV/atom: -57
Spin magnetization, Bohr magnetons per cell: 0.0
DFT total energy, eV per atom: -2.008

Cell and atoms, written as CIF:
```
data_LiMg6Ga
_chemical_formula_sum 'Li2 Mg12 Ga2'
_cell_length_a 4.9021
_cell_length_b 6.2134
_cell_length_c 10.7575
_cell_angle_alpha 90.00
_cell_angle_beta 90.00
_cell_angle_gamma 90.00
_symmetry_space_group_name_H-M 'A m m 2'
_symmetry_Int_Tables_number 38
loop_
_symmetry_equiv_pos_as_xyz
'x,y,z'
'-x,-y,z'
'-x,y,z'
'x,-y,z'
'x,y+1/2,z+1/2'
'-x,-y+1/2,z+1/2'
'-x,y+1/2,z+1/2'
'x,-y+1/2,z+1/2'
loop_
_atom_site_label
_atom_site_fract_x
_atom_site_fract_y
_atom_site_fract_z
_atom_site_occupancy
Li1 0.0000 0.0000 0.0000 1
Mg1 0.0000 0.0000 0.5055 1
Mg2 0.0000 0.2437 0.7570 1
Mg3 0.5000 0.0000 0.3372 1
Mg4 0.5000 0.2454 0.0837 1
Ga1 0.5000 0.0000 0.8403 1
```



# 2
# Li3MgGa

A relaxed Li3MgGa crystal (PBEsol, the Alexandria database).

## Properties
E_form, meV/atom: 156
Spin magnetization, Bohr magnetons per cell: 0.0
DFT total energy, eV per atom: -2.036

Cell and atoms, written as CIF:
```
data_Li3MgGa
_chemical_formula_sum 'Li3 Mg1 Ga1'
_cell_length_a 4.7546
_cell_length_b 4.7546
_cell_length_c 4.7546
_cell_angle_alpha 90.00
_cell_angle_beta 90.00
_cell_angle_gamma 90.00
_symmetry_space_group_name_H-M 'P m -3 m'
_symmetry_Int_Tables_number 221
_symmetry_space_group_name_Hall '-P 4 2 3'
loop_
_atom_site_label
_atom_site_fract_x
_atom_site_fract_y
_atom_site_fract_z
_atom_site_occupancy
Li1 0.0000 0.0000 0.5000 1
Mg1 0.5000 0.5000 0.5000 1
Ga1 0.0000 0.0000 0.0000 1
```



# 3
# Li2Mg2Ga

A relaxed Li2Mg2Ga crystal (PBEsol, the Alexandria database).

## Properties
E_form, meV/atom: -59
Spin magnetization, Bohr magnetons per cell: 0.0
DFT total energy, eV per atom: -2.201

Cell and atoms, written as CIF:
```
data_Li2Mg2Ga
_chemical_formula_sum 'Li4 Mg4 Ga2'
_cell_length_a 6.6315
_cell_length_b 6.6315
_cell_length_c 4.1122
_cell_angle_alpha 90.00
_cell_angle_beta 90.00
_cell_angle_gamma 90.00
_symmetry_space_group_name_H-M 'P 4/m b m'
_symmetry_Int_Tables_number 127
_symmetry_space_group_name_Hall '-P 4 2ab'
loop_
_atom_site_label
_atom_site_fract_x
_atom_site_fract_y
_atom_site_fract_z
_atom_site_occupancy
Li1 0.1366 0.3634 0.0000 1
Mg1 0.1744 0.6744 0.5000 1
Ga1 0.0000 0.0000 0.0000 1
```



# 4
# Li2MgGa

A relaxed Li2MgGa crystal (PBEsol, the Alexandria database).

## Properties
E_form, meV/atom: 9
Spin magnetization, Bohr magnetons per cell: 0.0
DFT total energy, eV per atom: -2.239

Cell and atoms, written as CIF:
```
data_Li2MgGa
_chemical_formula_sum 'Li8 Mg4 Ga4'
_cell_length_a 7.3629
_cell_length_b 7.3629
_cell_length_c 5.5263
_cell_angle_alpha 90.00
_cell_angle_beta 90.00
_cell_angle_gamma 90.00
_symmetry_space_group_name_H-M 'I -4 2 d'
_symmetry_Int_Tables_number 122
_symmetry_space_group_name_Hall 'I -4 2bw'
loop_
_atom_site_label
_atom_site_fract_x
_atom_site_fract_y
_atom_site_fract_z
_atom_site_occupancy
Li1 0.2261 0.2500 0.1250 1
Mg1 0.0000 0.0000 0.5000 1
Ga1 0.0000 0.0000 0.0000 1
```



# 5
# Li2MgGa2

A relaxed Li2MgGa2 crystal (PBEsol, the Alexandria database).

## Properties
E_form, meV/atom: -230
Spin magnetization, Bohr magnetons per cell: 0.0
DFT total energy, eV per atom: -2.696

Cell and atoms, written as CIF:
```
data_Li2MgGa2
_chemical_formula_sum 'Li4 Mg2 Ga4'
_cell_length_a 7.4045
_cell_length_b 7.4045
_cell_length_c 3.0776
_cell_angle_alpha 90.00
_cell_angle_beta 90.00
_cell_angle_gamma 90.00
_symmetry_space_group_name_H-M 'P 4/m b m'
_symmetry_Int_Tables_number 127
_symmetry_space_group_name_Hall '-P 4 2ab'
loop_
_atom_site_label
_atom_site_fract_x
_atom_site_fract_y
_atom_site_fract_z
_atom_site_occupancy
Li1 0.1761 0.3239 0.0000 1
Mg1 0.0000 0.0000 0.5000 1
Ga1 0.1221 0.6221 0.5000 1
```



# 6
# LiMgGa2Ni

A relaxed LiMgGa2Ni crystal (PBEsol, the Alexandria database).

## Properties
E_form, meV/atom: 311
Spin magnetization, Bohr magnetons per cell: 0.0
DFT total energy, eV per atom: -2.994

Cell and atoms, written as CIF:
```
data_LiMgGa2Ni
_chemical_formula_sum 'Li1 Mg1 Ga2 Ni1'
_cell_length_a 4.3528
_cell_length_b 4.3528
_cell_length_c 4.1135
_cell_angle_alpha 90.00
_cell_angle_beta 90.00
_cell_angle_gamma 90.00
_symmetry_space_group_name_H-M 'P 4/m m m'
_symmetry_Int_Tables_number 123
_symmetry_space_group_name_Hall '-P 4 2'
loop_
_atom_site_label
_atom_site_fract_x
_atom_site_fract_y
_atom_site_fract_z
_atom_site_occupancy
Li1 0.0000 0.0000 0.0000 1
Mg1 0.5000 0.5000 0.5000 1
Ga1 0.0000 0.5000 0.0000 1
Ni1 0.0000 0.0000 0.5000 1
```



# 7
# LiMg30GaO32

A relaxed LiMg30GaO32 crystal (PBEsol, the Alexandria database).

## Properties
Spin magnetization, Bohr magnetons per cell: 0.0
DFT total energy, eV per atom: -6.210

Cell and atoms, written as CIF:
```
data_LiMg30GaO32
_chemical_formula_sum 'Li1 Mg30 Ga1 O32'
_cell_length_a 8.4121
_cell_length_b 8.4121
_cell_length_c 8.4166
_cell_angle_alpha 90.00
_cell_angle_beta 90.00
_cell_angle_gamma 90.00
_symmetry_space_group_name_H-M 'P 4/m m m'
_symmetry_Int_Tables_number 123
_symmetry_space_group_name_Hall '-P 4 2'
loop_
_atom_site_label
_atom_site_fract_x
_atom_site_fract_y
_atom_site_fract_z
_atom_site_occupancy
Li1 0.0000 0.0000 0.0000 1
Mg1 0.0000 0.2489 0.2452 1
Mg2 0.0000 0.5000 0.0000 1
Mg3 0.0000 0.5000 0.5000 1
Mg4 0.2471 0.2471 0.0000 1
Mg5 0.2499 0.5000 0.2487 1
Mg6 0.2510 0.2510 0.5000 1
Mg7 0.5000 0.5000 0.0000 1
Mg8 0.5000 0.5000 0.5000 1
Ga1 0.0000 0.0000 0.5000 1
O1 0.0000 0.0000 0.2664 1
O2 0.0000 0.2443 0.5000 1
O3 0.0000 0.2538 0.0000 1
O4 0.0000 0.5000 0.2527 1
O5 0.2489 0.5000 0.5000 1
O6 0.2496 0.2496 0.2509 1
O7 0.2505 0.5000 0.0000 1
O8 0.5000 0.5000 0.2511 1
```



# 8
# NaLi2MnGa

A relaxed NaLi2MnGa crystal (PBEsol, the Alexandria database).

## Properties
E_form, meV/atom: 842
Spin magnetization, Bohr magnetons per cell: 4.1
DFT total energy, eV per atom: -2.845

Cell and atoms, written as CIF:
```
data_NaLi2MnGa
_chemical_formula_sum 'Na1 Li2 Mn1 Ga1'
_cell_length_a 4.4243
_cell_length_b 4.4243
_cell_length_c 5.0611
_cell_angle_alpha 90.00
_cell_angle_beta 90.00
_cell_angle_gamma 90.00
_symmetry_space_group_name_H-M 'P 4/m m m'
_symmetry_Int_Tables_number 123
_symmetry_space_group_name_Hall '-P 4 2'
loop_
_atom_site_label
_atom_site_fract_x
_atom_site_fract_y
_atom_site_fract_z
_atom_site_occupancy
Na1 0.0000 0.0000 0.0000 1
Li1 0.0000 0.5000 0.0000 1
Mn1 0.5000 0.5000 0.5000 1
Ga1 0.0000 0.0000 0.5000 1
```